1.
BaAlGaI2: relaxed, PBE.

Calculated values
- Symmetry: P4/mmm, No. 123
- Calculated total energy: -2.744 eV per atom
- ρ: 4414 kg/m³
- Energy above the most stable polymorph in this dataset: 0.0000 eV per atom
- E_form (uncorrected): -385.0 meV per atom
- V: 36.7 Å³/atom

Unit cell a=6.0004 b=5.0976 c=6.0004 alpha=90.00 beta=90.00 gamma=90.00
Last column: nearest neighbours and their distance in Å.
Sites, in units of the cell vectors:
I 0.5000 0.0000 0.0000  2 Ga 3.00
I 0.0000 0.0000 0.5000  2 Ga 3.00
Ba 0.5000 0.5000 0.5000  8 I 3.94, 4 Al 4.24
Ga 0.0000 0.0000 0.0000  2 Al 2.55
Al 0.0000 0.5000 0.0000  2 Ga 2.55

2.
Y3BiSe6: relaxed, PBE.

Calculated values
- Symmetry: P2_1/m, No. 11
- Calculated total energy: -5.898 eV per atom
- ρ: 5705 kg/m³
- Energy above the most stable polymorph in this dataset: 0.0000 eV per atom
- E_form (uncorrected): -1480.0 meV per atom
- V: 27.6 Å³/atom

Unit cell a=4.1746 b=11.7840 c=11.9140 alpha=109.44 beta=90.00 gamma=90.00
Last column: nearest neighbours and their distance in Å.
Sites, in units of the cell vectors:
Bi 0.7500 0.0201 0.6852  4 Se 2.90-3.11
Y 0.7500 0.1591 0.0797  6 Se 2.85-2.88
Bi 0.2500 0.9799 0.3148  4 Se 2.90-3.11
Se 0.7500 0.8009 0.7454  3 Y 2.88, 1 Bi 2.90
Se 0.2500 0.8834 0.5280  3 Bi 2.91-3.11, 2 Y 3.19
Y 0.2500 0.8409 0.9203  6 Se 2.85-2.88
Se 0.7500 0.1166 0.4720  3 Bi 2.91-3.11, 2 Y 3.19
Se 0.7500 0.4857 0.6182  4 Y 2.80-3.00
Se 0.2500 0.1991 0.2546  3 Y 2.88, 1 Bi 2.90
Y 0.7500 0.6695 0.4940  5 Se 2.80-3.00
Se 0.2500 0.0802 0.9066  3 Y 2.86-2.88
Y 0.2500 0.5691 0.1653  6 Se 2.86-2.90
Y 0.2500 0.3305 0.5060  5 Se 2.80-3.00
Se 0.2500 0.5143 0.3818  4 Y 2.80-3.00
Y 0.7500 0.4309 0.8347  6 Se 2.86-2.90
Se 0.2500 0.2649 0.7217  3 Y 2.87-2.92
Se 0.2500 0.6052 0.9370  4 Y 2.85-2.90
Se 0.7500 0.9198 0.0934  3 Y 2.86-2.88
Se 0.7500 0.3948 0.0630  4 Y 2.85-2.90
Se 0.7500 0.7351 0.2783  3 Y 2.87-2.92

3.
Ce2Y6Ho3Er: relaxed, PBE.

Calculated values
- Symmetry: C2/m, No. 12
- Calculated total energy: -5.694 eV per atom
- ρ: 6475 kg/m³
- V: 31.5 Å³/atom
- Energy of formation: 1.2 kcal/mol of atoms

Unit cell a=6.1446 b=6.1446 c=11.7527 alpha=94.99 beta=94.99 gamma=119.99
Last column: nearest neighbours and their distance in Å.
Sites, in units of the cell vectors:
Ho 0.1660 0.8340 0.5000  6 Ho 3.53-3.55, 6 Y 3.55-3.56
Ho 0.5000 0.5000 0.5000  6 Ho 3.54-3.55, 6 Y 3.55
Y 0.2513 0.2513 0.7506  2 Ce 3.54, 6 Y 3.54-3.57, 1 Er 3.54, 3 Ho 3.55
Ce 0.6665 0.3335 0.0000  6 Y 3.53-3.54, 3 Ce 3.54-3.55, 3 Er 3.55
Ce 0.3335 0.6665 0.0000  6 Y 3.53-3.54, 3 Ce 3.54-3.55, 3 Er 3.55
Y 0.4186 0.0837 0.2492  2 Ce 3.53-3.54, 6 Y 3.54-3.57, 1 Er 3.54, 3 Ho 3.55-3.56
Y 0.9163 0.5814 0.7508  2 Ce 3.53-3.54, 6 Y 3.54-3.57, 1 Er 3.54, 3 Ho 3.55-3.56
Y 0.0837 0.4186 0.2492  2 Ce 3.53-3.54, 6 Y 3.54-3.57, 1 Er 3.54, 3 Ho 3.55-3.56
Y 0.5814 0.9163 0.7508  2 Ce 3.53-3.54, 6 Y 3.54-3.57, 1 Er 3.54, 3 Ho 3.55-3.56
Y 0.7487 0.7487 0.2494  2 Ce 3.54, 6 Y 3.54-3.57, 1 Er 3.54, 3 Ho 3.55
Ho 0.8340 0.1660 0.5000  6 Ho 3.53-3.55, 6 Y 3.55-3.56
Er 0.0000 0.0000 0.0000  6 Y 3.54, 6 Ce 3.55

4.
CaUSb2: relaxed, PBE.

Calculated values
- Symmetry: R-3m, No. 166
- Calculated total energy: -5.942 eV per atom
- ρ: 6926 kg/m³
- Energy above the most stable polymorph in this dataset: 0.0000 eV per atom
- E_form (uncorrected): -558.7 meV per atom
- V: 31.3 Å³/atom

Unit cell a=4.4302 b=4.4302 c=7.7897 alpha=73.48 beta=73.48 gamma=60.00
Last column: nearest neighbours and their distance in Å.
Sites, in units of the cell vectors:
Sb 0.7451 0.7451 0.7647  3 U 3.09, 3 Ca 3.21
Ca 0.5000 0.5000 0.5000  6 Sb 3.21
U 0.0000 0.0000 0.0000  6 Sb 3.09
Sb 0.2549 0.2549 0.2353  3 U 3.09, 3 Ca 3.21